# 1
! PBE-GGA Pr3Dy3PuSe8, optimized geometry; values from VASP
! E_form (uncorrected), eV/atom: -1.806
! Magnetic moment, μB/f.u.: 6.20
! Theoretical density, Mg/m³: 7.3
&SYSTEM
  ibrav = 0, nat = 15, ntyp = 4
/
ATOMIC_SPECIES
Se 78.96 Se.upf
Dy 162.50 Dy.upf
Pr 140.91 Pr.upf
Pu 244.00 Pu.upf
CELL_PARAMETERS angstrom
-3.972 0.929 -7.207
6.861 -4.623 0.381
-7.053 -2.760 3.531
ATOMIC_POSITIONS crystal
Se 0.748 0.011 0.258
Se 0.263 0.011 0.258
Se 0.252 0.989 0.742
Se 0.255 0.511 0.266
Se 0.252 0.505 0.741
Se 0.745 0.489 0.734
Se 0.748 0.495 0.259
Se 0.737 0.989 0.742
Dy 0.500 0.500 0.500
Dy 0.000 0.500 0.500
Dy 0.500 0.000 0.500
Pr 0.000 0.000 0.000
Pr 0.500 0.500 0.000
Pr 0.000 0.500 0.000
Pu 0.000 0.000 0.500

---

# 2
! PBE-GGA LiLaW2, optimized geometry; values from VASP
! Distance to the lowest polymorph of the same formula, meV per atom: 483
! ΔE_f, eV/atom: 0.932
! Magnetic moment, μB/f.u.: 0.13
! Theoretical density, Mg/m³: 11.1
&SYSTEM
  ibrav = 0, nat = 4, ntyp = 3
/
ATOMIC_SPECIES
W 183.84 W.upf
La 138.91 La.upf
Li 6.94 Li.upf
CELL_PARAMETERS angstrom
-1.469 -8.922 -6.280
0.496 -7.638 -7.912
1.312 -9.304 -5.736
ATOMIC_POSITIONS crystal
W 0.492 0.492 0.492
W 0.008 0.008 0.008
La 0.250 0.250 0.250
Li 0.750 0.750 0.750

---

# 3
! PBE-GGA V2GaN, optimized geometry; values from VASP
! E_form (uncorrected), eV/atom: 0.626
! Magnetic moment, μB/f.u.: 0.00
! Theoretical density, Mg/m³: 6.5
&SYSTEM
  ibrav = 0, nat = 4, ntyp = 3
/
ATOMIC_SPECIES
V 50.94 V.upf
Ga 69.72 Ga.upf
N 14.01 N.upf
CELL_PARAMETERS angstrom
0.000 2.878 2.878
2.878 0.000 2.878
2.878 2.878 0.000
ATOMIC_POSITIONS crystal
V 0.250 0.250 0.250
V 0.750 0.750 0.750
Ga 0.500 0.500 0.500
N 0.000 0.000 0.000

---

# 4
! PBE-GGA Ba8Sb3AsI3, optimized geometry; values from VASP
! E_form (uncorrected), eV/atom: -1.282
! Magnetic moment, μB/f.u.: 0.96
! Theoretical density, Mg/m³: 4.3
&SYSTEM
  ibrav = 0, nat = 15, ntyp = 4
/
ATOMIC_SPECIES
I 126.90 I.upf
Ba 137.33 Ba.upf
Sb 121.76 Sb.upf
As 74.92 As.upf
CELL_PARAMETERS angstrom
10.100 0.000 0.000
-5.050 8.747 -0.031
0.000 -5.804 8.358
ATOMIC_POSITIONS crystal
I 0.000 0.500 0.000
I 0.000 0.000 0.000
I 0.500 0.500 0.000
Ba 0.232 0.980 0.711
Ba 0.739 0.478 0.717
Ba 0.261 0.522 0.283
Ba 0.768 0.020 0.289
Ba 0.748 0.980 0.711
Ba 0.768 0.536 0.288
Ba 0.252 0.020 0.289
Ba 0.232 0.464 0.712
Sb 0.000 0.500 0.500
Sb 0.500 0.500 0.500
Sb 0.500 0.000 0.500
As 0.000 0.000 0.500

---

# 5
! PBE-GGA Cr2InIr2, optimized geometry; values from VASP
! Distance to the lowest polymorph of the same formula, meV per atom: 49
! ΔE_f, eV/atom: 0.088
! Magnetic moment, μB/f.u.: 0.02
! Theoretical density, Mg/m³: 13.3
&SYSTEM
  ibrav = 0, nat = 10, ntyp = 3
/
ATOMIC_SPECIES
Cr 52.00 Cr.upf
Ir 192.22 Ir.upf
In 114.82 In.upf
CELL_PARAMETERS angstrom
-3.025 0.532 -6.742
6.437 -2.040 -3.049
-0.770 -2.636 0.137
ATOMIC_POSITIONS crystal
Cr 0.615 0.115 0.000
Cr 0.885 0.615 0.000
Cr 0.115 0.385 0.000
Cr 0.385 0.885 0.000
Ir 0.669 0.831 0.500
Ir 0.831 0.331 0.500
Ir 0.169 0.669 0.500
Ir 0.331 0.169 0.500
In 0.000 0.000 0.000
In 0.500 0.500 0.000

---

# 6
! PBE-GGA Pm2Dy3Y6Tm, optimized geometry; values from VASP
! ΔE_f, eV/atom: 0.019
! Magnetic moment, μB/f.u.: 0.00
! Theoretical density, Mg/m³: 6.4
&SYSTEM
  ibrav = 0, nat = 12, ntyp = 4
/
ATOMIC_SPECIES
Y 88.91 Y.upf
Dy 162.50 Dy.upf
Pm 145.00 Pm.upf
Tm 168.93 Tm.upf
CELL_PARAMETERS angstrom
-0.989 5.929 1.436
-3.481 -2.757 -4.298
-6.097 -4.308 9.176
ATOMIC_POSITIONS crystal
Y 0.248 0.248 0.748
Y 0.416 0.084 0.251
Y 0.084 0.416 0.251
Y 0.916 0.584 0.749
Y 0.584 0.916 0.749
Y 0.752 0.752 0.252
Dy 0.834 0.166 0.500
Dy 0.166 0.834 0.500
Dy 0.500 0.500 0.500
Pm 0.667 0.333 0.000
Pm 0.333 0.667 0.000
Tm 0.000 0.000 0.000

---

# 7
! PBE-GGA PtCl3, optimized geometry; values from VASP
! E_form (uncorrected), eV/atom: -0.398
! Magnetic moment, μB/f.u.: 0.00
! Theoretical density, Mg/m³: 4.8
&SYSTEM
  ibrav = 0, nat = 48, ntyp = 2
/
ATOMIC_SPECIES
Pt 195.08 Pt.upf
Cl 35.45 Cl.upf
CELL_PARAMETERS angstrom
13.105 0.004 0.010
-5.562 11.866 0.010
-5.562 -8.753 8.012
ATOMIC_POSITIONS crystal
Pt 0.758 0.836 0.935
Pt 0.836 0.935 0.758
Pt 0.819 0.245 0.495
Pt 0.181 0.755 0.505
Pt 0.935 0.758 0.836
Pt 0.245 0.495 0.819
Pt 0.495 0.819 0.245
Pt 0.065 0.242 0.164
Pt 0.242 0.164 0.065
Pt 0.755 0.505 0.181
Pt 0.505 0.181 0.755
Pt 0.164 0.065 0.242
Cl 0.821 0.742 0.333
Cl 0.172 0.924 0.904
Cl 0.742 0.333 0.821
Cl 0.606 0.778 0.702
Cl 0.258 0.667 0.179
Cl 0.473 0.641 0.865
Cl 0.331 0.748 0.993
Cl 0.669 0.252 0.007
Cl 0.748 0.993 0.331
Cl 0.641 0.865 0.473
Cl 0.667 0.179 0.258
Cl 0.333 0.821 0.742
Cl 0.394 0.222 0.298
Cl 0.135 0.527 0.359
Cl 0.096 0.828 0.076
Cl 0.359 0.135 0.527
Cl 0.065 0.415 0.575
Cl 0.702 0.606 0.778
Cl 0.222 0.298 0.394
Cl 0.252 0.007 0.669
Cl 0.585 0.425 0.935
Cl 0.575 0.065 0.415
Cl 0.007 0.669 0.252
Cl 0.425 0.935 0.585
Cl 0.993 0.331 0.748
Cl 0.298 0.394 0.222
Cl 0.904 0.172 0.924
Cl 0.076 0.096 0.828
Cl 0.778 0.702 0.606
Cl 0.828 0.076 0.096
Cl 0.415 0.575 0.065
Cl 0.865 0.473 0.641
Cl 0.935 0.585 0.425
Cl 0.924 0.904 0.172
Cl 0.527 0.359 0.135
Cl 0.179 0.258 0.667

---

# 8
! PBE-GGA SrZrTl2, optimized geometry; values from VASP
! ΔE_f, eV/atom: 0.328
! Magnetic moment, μB/f.u.: 0.00
! Theoretical density, Mg/m³: 6.8
&SYSTEM
  ibrav = 0, nat = 8, ntyp = 3
/
ATOMIC_SPECIES
Zr 91.22 Zr.upf
Sr 87.62 Sr.upf
Tl 204.38 Tl.upf
CELL_PARAMETERS angstrom
5.360 0.000 0.000
0.000 5.360 0.000
2.680 2.680 9.945
ATOMIC_POSITIONS crystal
Zr 0.750 0.250 0.500
Zr 0.000 0.000 0.000
Sr 0.250 0.750 0.500
Sr 0.500 0.500 0.000
Tl 0.875 0.960 0.750
Tl 0.710 0.125 0.250
Tl 0.040 0.625 0.250
Tl 0.375 0.290 0.750